1.
Li2Ti3MnO8 after structural relaxation. Source: the Alexandria database, functional PBEsol.

a b c (Å): 5.9247 5.9247 5.9068
angles (deg): 59.90 59.90 60.00
Last column: nearest neighbours and their distance in Å.
Atoms (fractional coordinates):
1 O 0.7408 0.7408 0.7776  3 Ti 2.00, 1 Li 2.03
2 O 0.7502 0.2897 0.2100  2 Ti 1.91, 2 Li 1.97-2.10
3 O 0.2547 0.2547 0.7789  1 Mn 1.97, 2 Ti 1.98, 1 Li 2.06
4 O 0.7118 0.2547 0.7789  1 Mn 1.97, 2 Ti 1.98, 1 Li 2.06
5 O 0.2585 0.2585 0.2244  1 Mn 2.03, 3 Ti 2.04
6 O 0.2897 0.7502 0.2100  2 Ti 1.91, 2 Li 1.97-2.10
7 O 0.2547 0.7118 0.7789  1 Mn 1.97, 2 Ti 1.98, 1 Li 2.06
8 O 0.7502 0.7502 0.2100  2 Ti 1.91, 2 Li 1.97-2.10
9 Ti 0.9936 0.5018 0.0029  6 O 1.91-2.04
10 Ti 0.5018 0.9936 0.0029  6 O 1.91-2.04
11 Ti 0.5018 0.5018 0.0029  6 O 1.91-2.04
12 Li 0.5002 0.5002 0.4994  6 O 2.06-2.10
13 Li 0.8814 0.8814 0.3559  4 O 1.97-2.03
14 Mn 0.1182 0.1182 0.6454  4 O 1.97-2.03

Output
- Formation energy without anion corrections: -2.6268 eV/atom

2.
ReAs3C after structural relaxation. Source: the Alexandria database, functional PBEsol.

a b c (Å): 4.7400 4.7400 4.7400
angles (deg): 90.00 90.00 90.00
Last column: nearest neighbours and their distance in Å.
Atoms (fractional coordinates):
1 Re 0.0000 0.0000 0.0000  6 As 2.37
2 C 0.5000 0.5000 0.5000  12 As 3.35
3 As 0.0000 0.5000 0.0000  2 Re 2.37
4 As 0.0000 0.0000 0.5000  2 Re 2.37
5 As 0.5000 0.0000 0.0000  2 Re 2.37

Output
- Formation enthalpy at 0 K: 1.853 eV/atom
- DOS at the Fermi energy: 3.30 states/eV/cell

3.
Mg2Tl2Pb after structural relaxation. Source: the Alexandria database, functional PBEsol.

a b c (Å): 3.3040 8.7868 8.7868
angles (deg): 90.00 90.00 90.00
Last column: nearest neighbours and their distance in Å.
Atoms (fractional coordinates):
1 Mg 0.5000 0.3611 0.1389  6 Tl 3.01-3.09, 2 Mg 3.30
2 Mg 0.5000 0.6389 0.8611  6 Tl 3.01-3.09, 2 Mg 3.30
3 Mg 0.5000 0.1389 0.6389  6 Tl 3.01-3.09, 2 Mg 3.30
4 Mg 0.5000 0.8611 0.3611  6 Tl 3.01-3.09, 2 Mg 3.30
5 Tl 0.0000 0.3419 0.8419  6 Mg 3.01-3.09, 2 Tl 3.30, 2 Pb 3.31
6 Tl 0.0000 0.6581 0.1581  6 Mg 3.01-3.09, 2 Tl 3.30, 2 Pb 3.31
7 Tl 0.0000 0.1581 0.3419  6 Mg 3.01-3.09, 2 Tl 3.30, 2 Pb 3.31
8 Tl 0.0000 0.8419 0.6581  6 Mg 3.01-3.09, 2 Tl 3.30, 2 Pb 3.31
9 Pb 0.0000 0.0000 0.0000  2 Pb 3.30, 4 Tl 3.31
10 Pb 0.0000 0.5000 0.5000  2 Pb 3.30, 4 Tl 3.31

Output
- Formation enthalpy at 0 K: -0.018 eV/atom
- DOS at the Fermi energy: 4.21 states/eV/cell

4.
Co2AgIr after structural relaxation. Source: the Alexandria database, functional PBEsol.

a b c (Å): 2.6458 3.6041 5.4585
angles (deg): 90.00 90.00 90.00
Last column: nearest neighbours and their distance in Å.
Atoms (fractional coordinates):
1 Ir 0.5000 0.5000 0.0000  8 Co 2.54, 2 Ir 2.65, 2 Ag 2.73
2 Co 0.0000 0.0000 0.2208  3 Co 2.41-2.65, 4 Ir 2.54
3 Co 0.0000 0.0000 0.7792  3 Co 2.41-2.65, 4 Ir 2.54
4 Ag 0.5000 0.5000 0.5000  2 Ag 2.65, 8 Co 2.71, 2 Ir 2.73

Output
- Formation enthalpy at 0 K: 0.276 eV/atom
- DOS at the Fermi energy: 5.78 states/eV/cell

5.
Nb3NiS6 after structural relaxation. Source: the Alexandria database, functional PBEsol.

a b c (Å): 5.7341 5.7341 11.6029
angles (deg): 90.00 90.00 120.00
Last column: nearest neighbours and their distance in Å.
Atoms (fractional coordinates):
1 Nb 0.3333 0.6667 0.9975  6 S 2.45-2.50
2 Nb 0.0000 0.0000 0.0000  6 S 2.47
3 Nb 0.0000 0.0000 0.5000  6 S 2.47
4 Nb 0.6667 0.3333 0.4975  6 S 2.45-2.50
5 Nb 0.6667 0.3333 0.0025  6 S 2.45-2.50
6 Nb 0.3333 0.6667 0.5025  6 S 2.45-2.50
7 S 0.6686 0.6676 0.1352  1 Ni 2.34, 3 Nb 2.45-2.50
8 S 0.3314 0.9990 0.8648  1 Ni 2.34, 3 Nb 2.45-2.50
9 S 0.9990 0.6676 0.3648  1 Ni 2.34, 3 Nb 2.45-2.50
10 S 0.0010 0.3324 0.8648  1 Ni 2.34, 3 Nb 2.45-2.50
11 S 0.3324 0.0010 0.1352  1 Ni 2.34, 3 Nb 2.45-2.50
12 S 0.9990 0.3314 0.1352  1 Ni 2.34, 3 Nb 2.45-2.50
13 S 0.3314 0.3324 0.6352  1 Ni 2.34, 3 Nb 2.45-2.50
14 S 0.6686 0.0010 0.3648  1 Ni 2.34, 3 Nb 2.45-2.50
15 S 0.3324 0.3314 0.3648  1 Ni 2.34, 3 Nb 2.45-2.50
16 S 0.6676 0.6686 0.8648  1 Ni 2.34, 3 Nb 2.45-2.50
17 S 0.6676 0.9990 0.6352  1 Ni 2.34, 3 Nb 2.45-2.50
18 S 0.0010 0.6686 0.6352  1 Ni 2.34, 3 Nb 2.45-2.50
19 Ni 0.3333 0.6667 0.2500  6 S 2.34
20 Ni 0.6667 0.3333 0.7500  6 S 2.34

Output
- Formation energy without anion corrections: -1.0781 eV/atom
- DOS at the Fermi energy: 13.76 states/eV/cell

6.
Na3HS2O8 after structural relaxation. Source: the Alexandria database, functional PBEsol.

a b c (Å): 8.6601 9.1231 9.6678
angles (deg): 90.00 90.00 108.60
Last column: nearest neighbours and their distance in Å.
Atoms (fractional coordinates):
1 O 0.6578 0.2149 0.6414  1 S 1.46
2 O 0.0884 0.3716 0.6733  1 S 1.48
3 O 0.9116 0.1284 0.1733  1 S 1.48
4 O 0.3113 0.4188 0.8364  1 H 1.29
5 O 0.6544 0.8758 0.6566  1 S 1.48
6 O 0.9643 0.2217 0.4099  1 S 1.48
7 O 0.4672 0.3588 0.6503  1 H 1.13
8 O 0.6887 0.0812 0.3364  1 H 1.29
9 O 0.9116 0.6284 0.3267  1 S 1.48
10 O 0.3422 0.2851 0.1414  1 S 1.46
11 O 0.3456 0.6242 0.1566  1 S 1.48
12 O 0.4672 0.8588 0.8497  1 H 1.13
13 O 0.8858 0.4470 0.1360  1 S 1.47
14 O 0.2423 0.5045 0.3757  1 S 1.48
15 O 0.0884 0.8716 0.8267  1 S 1.48
16 O 0.9643 0.7217 0.0901  1 S 1.48
17 O 0.3113 0.9188 0.6636  1 H 1.29
18 O 0.6887 0.5812 0.1636  1 H 1.29
19 O 0.5328 0.6412 0.3497  1 H 1.13
20 O 0.1142 0.0530 0.6360  1 S 1.47
21 O 0.7577 0.4955 0.6243  1 S 1.48
22 O 0.6578 0.7149 0.8586  1 S 1.46
23 O 0.0357 0.7783 0.5901  1 S 1.48
24 O 0.0357 0.2783 0.9099  1 S 1.48
25 O 0.5328 0.1412 0.1503  1 H 1.13
26 O 0.3422 0.7851 0.3586  1 S 1.46
27 O 0.3456 0.1242 0.3434  1 S 1.48
28 O 0.2423 0.0045 0.1243  1 S 1.48
29 O 0.1142 0.5530 0.8640  1 S 1.47
30 O 0.8858 0.9470 0.3640  1 S 1.47
31 O 0.6544 0.3758 0.8434  1 S 1.48
32 O 0.7577 0.9955 0.8757  1 S 1.48
33 Na 0.2419 0.2751 0.4953  6 O 2.38-2.50
34 Na 0.0000 0.5000 0.5000  4 O 2.31-2.41
35 Na 0.2419 0.7751 0.0047  6 O 2.38-2.50
36 Na 0.5000 0.5000 0.0000  4 O 2.22-2.42
37 Na 0.8833 0.6280 0.8431  6 O 2.32-2.56
38 Na 0.1167 0.3720 0.1569  6 O 2.32-2.56
39 Na 0.0000 0.0000 0.0000  4 O 2.31-2.41
40 Na 0.8833 0.1280 0.6569  6 O 2.32-2.56
41 Na 0.1167 0.8720 0.3431  6 O 2.32-2.56
42 Na 0.5000 0.0000 0.5000  4 O 2.22-2.42
43 Na 0.7581 0.7249 0.5047  6 O 2.38-2.50
44 Na 0.7581 0.2249 0.9953  6 O 2.38-2.50
45 S 0.3600 0.6401 0.3090  4 O 1.46-1.54
46 S 0.6400 0.3599 0.6910  4 O 1.46-1.54
47 S 0.6400 0.8599 0.8090  4 O 1.46-1.54
48 S 0.8658 0.5942 0.1797  4 O 1.47-1.51
49 S 0.8658 0.0942 0.3203  4 O 1.47-1.51
50 S 0.3600 0.1401 0.1910  4 O 1.46-1.54
51 S 0.1342 0.9058 0.6797  4 O 1.47-1.51
52 S 0.1342 0.4058 0.8203  4 O 1.47-1.51
53 H 0.3941 0.8865 0.7626  1 O 1.13
54 H 0.3941 0.3865 0.7374  1 O 1.13
55 H 0.6059 0.1135 0.2374  1 O 1.13
56 H 0.6059 0.6135 0.2626  1 O 1.13

Output
- Uncorrected energy: -328.65 eV per cell
- DOS at the Fermi energy: 0.00 states/eV/cell

7.
InHgPb2 after structural relaxation. Source: the Alexandria database, functional PBEsol.

a b c (Å): 5.3568 5.3568 5.3568
angles (deg): 60.00 60.00 60.00
Last column: nearest neighbours and their distance in Å.
Atoms (fractional coordinates):
1 Hg 0.5000 0.5000 0.5000  4 In 3.28, 4 Pb 3.28
2 In 0.2500 0.2500 0.2500  4 Pb 3.28, 4 Hg 3.28
3 Pb 0.7500 0.7500 0.7500  4 Hg 3.28, 4 Pb 3.28
4 Pb 0.0000 0.0000 0.0000  4 In 3.28, 4 Pb 3.28

Output
- Formation enthalpy at 0 K: 0.012 eV/atom
- DOS at the Fermi energy: 1.93 states/eV/cell

8.
Hg2BrCl after structural relaxation. Source: the Alexandria database, functional PBEsol.

a b c (Å): 3.9538 3.7681 8.2594
angles (deg): 90.00 90.00 121.64
Last column: nearest neighbours and their distance in Å.
Atoms (fractional coordinates):
1 Hg 0.5000 0.0000 0.2446  2 Br 2.70, 2 Hg 2.85
2 Hg 0.0000 0.0000 0.9965  2 Cl 2.60, 2 Hg 2.85
3 Cl 0.5000 0.0000 0.7921  2 Hg 2.60
4 Br 0.0000 0.0000 0.4669  2 Hg 2.70

Output
- Formation energy without anion corrections: -0.2319 eV/atom
- DOS at the Fermi energy: 0.61 states/eV/cell